Below is crystalline K5Cd3 at its relaxed geometry, with properties calculated at the PBEsol level.

It has space group P6_3/mcm (No. 193), with a = 10.4965 Å, b = 10.4965 Å, c = 7.0848 Å, α = 90.00°, β = 90.00° and γ = 120.00°. The inequivalent atoms are K at (0.0000, 0.2531, 0.2500), K at (0.3333, 0.6667, 0.0000) and Cd at (0.0000, 0.4066, 0.7500).

For the density of states at the Fermi level, the calculation gives 8.43 states/eV per cell. The value obtained for the formation energy from the elements is 55 meV/atom.